Version w
Entry from Alexandria via LeMat-Bulk: a relaxed Ti2CdBr crystal (PBE-GGA).

Calculated values
The value obtained for the density of states at the Fermi level is 6.1 states/eV/f.u. Its crystal system is cubic. The value obtained for the total moment is 1.22 μB per formula unit.

Lattice parameters (Å, degrees): 6.728 6.728 6.728 90.00 90.00 90.00
Positions (direct):
Ti: 0.250 0.250 0.250
Ti: 0.250 0.250 0.750
Ti: 0.250 0.750 0.250
Ti: 0.250 0.750 0.750
Ti: 0.750 0.250 0.250
Ti: 0.750 0.250 0.750
Ti: 0.750 0.750 0.250
Ti: 0.750 0.750 0.750
Cd: 0.000 0.000 0.000
Cd: 0.000 0.500 0.500
Cd: 0.500 0.000 0.500
Cd: 0.500 0.500 0.000
Br: 0.000 0.000 0.500
Br: 0.000 0.500 0.000
Br: 0.500 0.000 0.000
Br: 0.500 0.500 0.500



Version x
Entry from Alexandria via LeMat-Bulk: a relaxed Ti2CdBr crystal (PBE-GGA).

Calculated values
The value obtained for the density of states at the Fermi level is 9.7 states/eV/f.u. Its crystal system is tetragonal. The value obtained for the total moment is 0.00 μB per formula unit.

Lattice parameters (Å, degrees): 4.151 4.151 19.864 90.00 90.00 90.00
Positions (direct):
Ti: 0.247 0.250 0.125
Ti: 0.250 0.747 0.375
Ti: 0.250 0.753 0.875
Ti: 0.253 0.250 0.625
Ti: 0.747 0.750 0.625
Ti: 0.750 0.247 0.875
Ti: 0.750 0.253 0.375
Ti: 0.753 0.750 0.125
Cd: 0.000 0.000 0.500
Cd: 0.000 0.500 0.750
Cd: 0.500 0.000 0.250
Cd: 0.500 0.500 0.000
Br: 0.000 0.000 0.000
Br: 0.000 0.500 0.250
Br: 0.500 0.000 0.750
Br: 0.500 0.500 0.500



Which of them is most stable, and which least? Most stable: version w; least stable: version x.



Version w
Entry from Alexandria via LeMat-Bulk: a relaxed TlCdBr2 crystal (PBE-GGA).

Calculated values
The value obtained for the density of states at the Fermi level is 1.8 states/eV/f.u. Its crystal system is monoclinic. The value obtained for the total moment is 0.00 μB per formula unit.

Lattice parameters (Å, degrees): 4.610 4.594 6.478 90.00 90.07 90.00
Positions (direct):
Tl: 0.000 0.000 0.000
Cd: 0.500 0.500 0.500
Br: 0.000 0.000 0.500
Br: 0.500 0.500 0.000



Version x
Entry from Alexandria via LeMat-Bulk: a relaxed TlCdBr2 crystal (PBE-GGA).

Calculated values
The value obtained for the density of states at the Fermi level is 2.1 states/eV/f.u. Its crystal system is trigonal. The value obtained for the total moment is 0.00 μB per formula unit.

Lattice parameters (Å, degrees): 4.176 4.176 26.365 90.00 90.00 120.00
Positions (direct):
Tl: 0.000 0.000 0.000
Tl: 0.333 0.667 0.667
Tl: 0.667 0.333 0.333
Cd: 0.000 0.000 0.745
Cd: 0.333 0.667 0.412
Cd: 0.667 0.333 0.078
Br: 0.000 0.000 0.264
Br: 0.000 0.000 0.469
Br: 0.333 0.667 0.135
Br: 0.333 0.667 0.931
Br: 0.667 0.333 0.597
Br: 0.667 0.333 0.802



Which of them is most stable, and which least? Most stable: version w; least stable: version x.



Version w
Entry from Alexandria via LeMat-Bulk: a relaxed TlCdBr2 crystal (PBE-GGA).

Calculated values
The value obtained for the density of states at the Fermi level is 1.6 states/eV/f.u. Its crystal system is trigonal. The value obtained for the total moment is 0.00 μB per formula unit.

Lattice parameters (Å, degrees): 3.966 3.966 30.293 90.00 90.00 120.00
Positions (direct):
Tl: 0.000 0.000 0.000
Tl: 0.333 0.667 0.667
Tl: 0.667 0.333 0.333
Cd: 0.000 0.000 0.500
Cd: 0.333 0.667 0.167
Cd: 0.667 0.333 0.833
Br: 0.000 0.000 0.111
Br: 0.000 0.000 0.889
Br: 0.333 0.667 0.555
Br: 0.333 0.667 0.778
Br: 0.667 0.333 0.222
Br: 0.667 0.333 0.445



Version x
Entry from Alexandria via LeMat-Bulk: a relaxed TlCdBr2 crystal (PBE-GGA).

Calculated values
The value obtained for the density of states at the Fermi level is 0.8 states/eV/f.u. Its crystal system is monoclinic. The value obtained for the total moment is 0.00 μB per formula unit.

Lattice parameters (Å, degrees): 4.168 5.526 6.483 90.00 108.40 90.00
Positions (direct):
Tl: 0.000 0.000 0.000
Cd: 0.250 0.500 0.491
Br: 0.286 0.000 0.562
Br: 0.567 0.500 0.118



Which of them is most stable, and which least? Most stable: version x; least stable: version w.



Version w
Entry from Alexandria via LeMat-Bulk: a relaxed TlCdBr2 crystal (PBE-GGA).

Calculated values
The value obtained for the density of states at the Fermi level is 2.8 states/eV/f.u. Its crystal system is monoclinic. The value obtained for the total moment is 0.00 μB per formula unit.

Lattice parameters (Å, degrees): 3.928 4.164 8.187 90.00 90.39 90.00
Positions (direct):
Tl: 0.000 0.000 0.000
Cd: 0.500 0.000 0.500
Br: 0.494 0.500 0.759
Br: 0.506 0.500 0.241



Version x
Entry from Alexandria via LeMat-Bulk: a relaxed TlCdBr2 crystal (PBE-GGA).

Calculated values
The value obtained for the density of states at the Fermi level is 5.5 states/eV/f.u. Its crystal system is cubic. The value obtained for the total moment is 0.18 μB per formula unit.

Lattice parameters (Å, degrees): 7.812 7.812 7.812 90.00 90.00 90.00
Positions (direct):
Tl: 0.000 0.000 0.000
Tl: 0.000 0.500 0.500
Tl: 0.500 0.000 0.500
Tl: 0.500 0.500 0.000
Cd: 0.250 0.250 0.250
Cd: 0.250 0.750 0.750
Cd: 0.750 0.250 0.750
Cd: 0.750 0.750 0.250
Br: 0.000 0.000 0.500
Br: 0.000 0.500 0.000
Br: 0.250 0.250 0.750
Br: 0.250 0.750 0.250
Br: 0.500 0.000 0.000
Br: 0.500 0.500 0.500
Br: 0.750 0.250 0.250
Br: 0.750 0.750 0.750



Which of them is most stable, and which least? Most stable: version w; least stable: version x.



Version w
Entry from Alexandria via LeMat-Bulk: a relaxed Tl2Cd2Br crystal (PBE-GGA).

Calculated values
The value obtained for the density of states at the Fermi level is 1.6 states/eV/f.u. Its crystal system is tetragonal. The value obtained for the total moment is 0.00 μB per formula unit.

Lattice parameters (Å, degrees): 8.626 8.626 4.041 90.00 90.00 90.00
Positions (direct):
Tl: 0.178 0.322 0.000
Tl: 0.322 0.822 0.000
Tl: 0.678 0.178 0.000
Tl: 0.822 0.678 0.000
Cd: 0.125 0.625 0.500
Cd: 0.375 0.125 0.500
Cd: 0.625 0.875 0.500
Cd: 0.875 0.375 0.500
Br: 0.000 0.000 0.500
Br: 0.500 0.500 0.500



Version x
Entry from Alexandria via LeMat-Bulk: a relaxed Tl2Cd2Br crystal (PBE-GGA).

Calculated values
The value obtained for the density of states at the Fermi level is 3.2 states/eV/f.u. Its crystal system is tetragonal. The value obtained for the total moment is 0.00 μB per formula unit.

Lattice parameters (Å, degrees): 4.274 4.274 17.327 90.00 90.00 90.00
Positions (direct):
Tl: 0.000 0.000 0.094
Tl: 0.000 0.000 0.906
Tl: 0.500 0.500 0.406
Tl: 0.500 0.500 0.594
Cd: 0.000 0.500 0.250
Cd: 0.000 0.500 0.750
Cd: 0.500 0.000 0.250
Cd: 0.500 0.000 0.750
Br: 0.000 0.000 0.500
Br: 0.500 0.500 0.000



Which of them is most stable, and which least? Most stable: version x; least stable: version w.



Version w
Entry from Alexandria via LeMat-Bulk: a relaxed TlCdBr4 crystal (PBE-GGA).

Calculated values
The value obtained for the density of states at the Fermi level is 8.5 states/eV/f.u. Its crystal system is cubic. The value obtained for the total moment is 2.38 μB per formula unit.

Lattice parameters (Å, degrees): 6.548 6.548 6.548 60.00 60.00 60.00
Positions (direct):
Tl: 0.000 0.000 0.000
Cd: 0.250 0.250 0.250
Br: 0.127 0.624 0.624
Br: 0.624 0.127 0.624
Br: 0.624 0.624 0.127
Br: 0.624 0.624 0.624



Version x
Entry from Alexandria via LeMat-Bulk: a relaxed TlCdBr4 crystal (PBE-GGA).

Calculated values
The value obtained for the density of states at the Fermi level is 4.4 states/eV/f.u. Its crystal system is monoclinic. The value obtained for the total moment is 0.00 μB per formula unit.

Lattice parameters (Å, degrees): 6.814 4.150 7.392 90.00 91.87 90.00
Positions (direct):
Tl: 0.000 0.000 0.000
Cd: 0.000 0.500 0.500
Br: 0.233 0.000 0.357
Br: 0.246 0.500 0.813
Br: 0.754 0.500 0.187
Br: 0.767 0.000 0.643



Which of them is most stable, and which least? Most stable: version x; least stable: version w.